No. 1
First-principles (PBE) data for an optimized crystal structure of Be2NbAlSn, as listed in the Alexandria database.

abc: 4.590 4.590 5.026
angles: 90.00 90.00 90.00
Positions (direct):
Be 0.000 0.500 0.000
Be 0.500 0.000 0.000
Nb 0.000 0.000 0.000
Al 0.000 0.000 0.500
Sn 0.500 0.500 0.500

Results
Space-group type = P4/mmm
DOS at the Fermi energy = 3.52 states/eV/f.u.
Formation energy = 1132 meV/atom
Excess energy over the best structure of this formula in the dataset = 0.0 meV/atom

No. 2
First-principles (PBE) data for an optimized crystal structure of Be2NbAlSn, as listed in the Alexandria database.

abc: 4.314 4.314 5.487
angles: 90.00 90.00 90.00
Positions (direct):
Be 0.000 0.500 0.000
Be 0.500 0.000 0.000
Nb 0.000 0.000 0.500
Al 0.500 0.500 0.500
Sn 0.500 0.500 0.000

Results
Space-group type = P4/mmm
DOS at the Fermi energy = 4.12 states/eV/f.u.
Formation energy = 1401 meV/atom
Excess energy over the best structure of this formula in the dataset = 269.5 meV/atom

| no. | energy (eV/atom) |
| --- | --- |
| 1 | -3.92 |
| 2 | -3.65 |